Entry from Alexandria via LeMat-Bulk: a relaxed structure of MnBiO3 (PBE+U).

a b c (Å): 3.8733 6.0391 6.6021
angles (deg): 102.69 90.00 108.70
Last column: nearest neighbours and their distance in Å.
Positions (direct):
Mn  0.3575  0.7151  0.4815  4 O 1.87-2.08
Mn  0.6425  0.2849  0.5185  4 O 1.87-2.08
Bi  0.1132  0.2264  0.8725  6 O 2.28-2.50
Bi  0.8868  0.7736  0.1275  6 O 2.28-2.50
O  0.8372  0.6744  0.4431  2 Mn 1.96
O  0.1628  0.3256  0.5569  2 Mn 1.96
O  0.5161  0.0321  0.2804  1 Mn 1.87
O  0.4839  0.9679  0.7196  1 Mn 1.87
O  0.7213  0.4427  0.8352  1 Mn 2.08
O  0.2787  0.5573  0.1648  1 Mn 2.08

Computed properties:
symmetry: No. 12

Entry from Alexandria via LeMat-Bulk: a relaxed structure of Li9Mn2Co5O16 (PBE+U).

a b c (Å): 4.9594 5.8105 10.2205
angles (deg): 89.77 97.76 106.30
Last column: nearest neighbours and their distance in Å.
Positions (direct):
Li  0.9952  0.2484  0.2459  6 O 2.03-2.17
Li  0.4897  0.8736  0.6246  6 O 2.07-2.28
Li  0.9942  0.0013  0.4983  6 O 2.06-2.15
Li  0.5064  0.6259  0.8902  5 O 2.00-2.20
Li  0.0047  0.7493  0.7519  6 O 2.07-2.27
Li  0.5139  0.3794  0.1218  6 O 2.08-2.23
Li  0.0142  0.5048  0.0056  5 O 2.00-2.23
Li  0.4958  0.1199  0.3670  6 O 2.09-2.18
Li  0.5051  0.8774  0.1253  6 O 2.05-2.15
Mn  0.0044  0.9999  0.0059  6 O 1.90-2.03
Mn  0.4981  0.6297  0.3742  6 O 1.91-1.99
Co  0.9976  0.2469  0.7497  4 O 1.89-1.96
Co  0.9953  0.5001  0.4974  6 O 1.94-1.97
Co  0.5057  0.1238  0.8832  5 O 1.90-2.03
Co  0.9937  0.7520  0.2463  5 O 1.92-2.04
Co  0.4939  0.3655  0.6212  6 O 1.91-2.06
O  0.7688  0.1825  0.0574  1 Mn 1.91, 1 Co 2.03, 4 Li 2.04-2.09
O  0.2525  0.7899  0.4399  1 Mn 1.91, 1 Co 1.95, 1 Li 2.07
O  0.7517  0.9136  0.3158  1 Mn 1.92, 1 Co 1.92, 3 Li 2.06-2.13
O  0.2202  0.5336  0.6723  3 Co 1.95-2.00, 2 Li 2.09-2.15
O  0.7388  0.6713  0.5496  2 Co 1.95-2.05, 1 Mn 1.99, 2 Li 2.09-2.14
O  0.2560  0.2924  0.9401  2 Co 1.93-2.15, 1 Mn 1.98, 3 Li 2.08-2.11
O  0.7395  0.4076  0.8043  3 Co 1.92-2.06
O  0.2200  0.0433  0.1782  1 Mn 1.91, 1 Co 1.94, 2 Li 2.03-2.05
O  0.2513  0.3361  0.4383  2 Co 1.94-2.06, 1 Mn 1.97, 3 Li 2.14-2.17
O  0.7651  0.9606  0.8257  2 Co 1.95-1.96, 1 Mn 2.03, 2 Li 2.13-2.16
O  0.2337  0.0764  0.6892  2 Co 1.89-2.00, 2 Li 2.07-2.12
O  0.7752  0.7046  0.0594  1 Mn 1.90, 4 Li 2.00-2.12, 1 Co 2.04
O  0.2521  0.8370  0.9346  1 Co 1.90, 1 Mn 1.96, 2 Li 2.07-2.08
O  0.7622  0.4637  0.3225  1 Mn 1.96, 2 Co 1.97, 2 Li 2.14-2.15
O  0.2609  0.5798  0.2079  1 Mn 1.91, 1 Co 1.95, 2 Li 2.06-2.07
O  0.7440  0.2096  0.5563  2 Co 1.91-1.94, 2 Li 2.10-2.13

Computed properties:
symmetry: No. 1

no.,calculated total energy (Ha/atom),total moment (μB/cell)
1,-0.240,8.0
2,-0.213,16.0